# ZrAlSb2 GGA-PBE optimized geometry
# total DFT energy (no corrections) = -5.220 eV per atom
# theoretical density = 6.54 g/cm³
# ΔE_f (raw) = -0.344 eV/f.u.
data_ZrAlSb2
_chemical_formula_sum 'Zr2 Al2 Sb4'
_cell_length_a 10.390
_cell_length_b 3.299
_cell_length_c 5.378
_cell_angle_alpha 90.00
_cell_angle_beta 94.99
_cell_angle_gamma 90.00
_space_group_name_H-M_alt 'C 1 2/m 1'
_space_group_IT_number 12
loop_
_space_group_symop_operation_xyz
'x,y,z'
'-x,-y,-z'
'-x,y,-z'
'x,-y,z'
'x+1/2,y+1/2,z'
'-x+1/2,-y+1/2,-z'
'-x+1/2,y+1/2,-z'
'x+1/2,-y+1/2,z'
loop_
_atom_site_label
_atom_site_type_symbol
_atom_site_fract_x
_atom_site_fract_y
_atom_site_fract_z
Zr1 Zr 0.000 0.000 0.000
Al1 Al 0.000 0.500 0.500
Sb1 Sb 0.234 0.500 0.239